[1]
## Zr2CoB (PBE)

Data for crystalline Zr2CoB at its relaxed geometry.

Calculated values
M_tot ... 0.0 μB per formula unit
VASP energy ... -62.6 eV per cell
Space group ... P6_3/mmc
Calculated volume ... 65.14 Å³/f.u.

abc: 3.405 3.405 12.973
angles: 90.00 90.00 120.00
Element x y z (fractional)
Co 0.333 0.667 0.750
Co 0.667 0.333 0.250
B 0.000 0.000 0.000
B 0.000 0.000 0.500
Zr 0.333 0.667 0.394
Zr 0.667 0.333 0.606
Zr 0.333 0.667 0.106
Zr 0.667 0.333 0.894



[2]
## ZrCoB2 (PBE)

Data for crystalline ZrCoB2 at its relaxed geometry.

Calculated values
M_tot ... 0.0 μB per formula unit
VASP energy ... -26.7 eV per cell
Space group ... F-43m
Calculated volume ... 44.19 Å³/f.u.

abc: 3.968 3.968 3.968
angles: 60.00 60.00 60.00
Element x y z (fractional)
Co 0.250 0.250 0.250
B 0.750 0.750 0.750
B 0.000 0.000 0.000
Zr 0.500 0.500 0.500



[3]
## CsCuB4 (PBE)

Data for crystalline CsCuB4 at its relaxed geometry.

Calculated values
Relative energy among the computed polymorphs ... 0.387 eV per atom
VASP energy ... -25.5 eV per cell
Space group ... Immm
Calculated volume ... 84.20 Å³/f.u.

abc: 6.058 6.058 6.058
angles: 152.43 124.40 63.16
Element x y z (fractional)
Cu 0.500 0.500 0.000
B 0.111 0.760 0.351
B 0.591 0.240 0.351
B 0.409 0.760 0.649
B 0.889 0.240 0.649
Cs 0.000 0.000 0.000



[4]
## CsCuB4 (PBE)

Data for crystalline CsCuB4 at its relaxed geometry.

Calculated values
Relative energy among the computed polymorphs ... 0.000 eV per atom
VASP energy ... -27.8 eV per cell
Space group ... P6/mmm
Calculated volume ... 73.63 Å³/f.u.

abc: 3.160 3.160 8.513
angles: 90.00 90.00 120.00
Element x y z (fractional)
Cs 0.000 0.000 0.500
B 0.333 0.667 0.173
B 0.667 0.333 0.173
B 0.333 0.667 0.827
B 0.667 0.333 0.827
Cu 0.000 0.000 0.000



[5]
## CsDyB4 (PBE)

Data for crystalline CsDyB4 at its relaxed geometry.

Calculated values
Relative energy among the computed polymorphs ... 0.000 eV per atom
M_tot ... 0.0 μB per formula unit
VASP energy ... -31.3 eV per cell
Space group ... P6/mmm
Calculated volume ... 87.39 Å³/f.u.

abc: 3.281 3.281 9.376
angles: 90.00 90.00 120.00
Element x y z (fractional)
B 0.333 0.667 0.200
B 0.333 0.667 0.800
B 0.667 0.333 0.200
B 0.667 0.333 0.800
Cs 0.000 0.000 0.500
Dy 0.000 0.000 0.000



[6]
## CsDyB4 (PBE)

Data for crystalline CsDyB4 at its relaxed geometry.

Calculated values
Relative energy among the computed polymorphs ... 0.434 eV per atom
M_tot ... 0.0 μB per formula unit
VASP energy ... -28.7 eV per cell
Space group ... Immm
Calculated volume ... 83.94 Å³/f.u.

abc: 5.722 5.722 5.722
angles: 147.51 122.34 67.77
Element x y z (fractional)
B 0.092 0.756 0.336
B 0.908 0.244 0.664
B 0.579 0.244 0.336
B 0.421 0.756 0.664
Dy 0.500 0.500 0.000
Cs 0.000 0.000 0.000